Below is an optimized crystal structure of Ca2PmH, with properties calculated at the PBE level.

E = -11.7 eV per cell

Unit cell a=3.4319 b=3.4319 c=9.2639 alpha=90.00 beta=90.00 gamma=90.00
Element x y z (fractional)
Ca  0.0000  0.0000  0.8101
Ca  0.0000  0.0000  0.1899
Pm  0.5000  0.5000  0.5000
H  0.5000  0.5000  0.0000